(1)
Below is CrFePd3 after structural relaxation, with properties calculated at the GGA-PBE level.

abc: 4.541 4.541 4.541
angles: 90.00 90.00 90.00
Element x y z (fractional)
Pd: 0.500 0.000 0.000
Fe: 0.500 0.500 0.500
Cr: 0.000 0.000 0.000
Pd: 0.000 0.500 0.000
Pd: 0.000 0.000 0.500

Properties
As for the density: 7.58 g/cm³. For the formation energy, the calculation gives 1133 meV/atom. The space-group type is No. 221.

***

(2)
Below is Cr2FePd6 after structural relaxation, with properties calculated at the GGA-PBE level.

abc: 3.979 5.934 6.292
angles: 83.92 71.57 70.41
Element x y z (fractional)
Pd: 0.324 0.184 0.167
Cr: 0.334 0.500 0.832
Pd: 0.657 0.186 0.500
Cr: 0.666 0.500 0.168
Fe: 0.000 0.500 0.500
Pd: 0.008 0.816 0.168
Pd: 0.992 0.184 0.832
Pd: 0.343 0.814 0.500
Pd: 0.676 0.816 0.833

Properties
As for the density: 9.98 g/cm³. For the formation energy, the calculation gives 7 meV/atom. The space-group type is No. 69.

***

Calculated total energy list, top to bottom, in eV/atom: -5.600; -6.534
DOS at the Fermi energy list, top to bottom, in states/eV/f.u.: 9.5; 14.5
Magnetic moment list, top to bottom, in μB per cell: 4.376; 9.850